[1]
# La7NdDy4, relaxed, DFT PBE
data_La7NdDy4
_chemical_formula_sum 'La7 Nd1 Dy4'
_cell_length_a 6.442
_cell_length_b 7.380
_cell_length_c 9.116
_cell_angle_alpha 90.01
_cell_angle_beta 103.47
_cell_angle_gamma 90.03
_symmetry_space_group_name_H-M 'P -1'
_symmetry_Int_Tables_number 2
loop_
_symmetry_equiv_pos_as_xyz
'x,y,z'
'-x,-y,-z'
loop_
_atom_site_label
_atom_site_type_symbol
_atom_site_fract_x
_atom_site_fract_y
_atom_site_fract_z
La1 La 0.000 0.000 0.000
La2 La 0.221 0.500 0.667
La3 La 0.282 0.751 0.337
La4 La 0.498 0.755 0.997
Nd1 Nd 0.000 0.500 0.000
Dy1 Dy 0.218 0.000 0.664
Dy2 Dy 0.277 0.244 0.332
# Energy above the most stable polymorph in this dataset in eV per atom: 0.000
# Calculated formation energy in kJ/mol of formula units: 17

=====

[2]
# La3Nd4Dy2, relaxed, DFT PBE
data_La3Nd4Dy2
_chemical_formula_sum 'La6 Nd8 Dy4'
_cell_length_a 16.042
_cell_length_b 3.680
_cell_length_c 10.992
_cell_angle_alpha 90.00
_cell_angle_beta 103.83
_cell_angle_gamma 90.00
_symmetry_space_group_name_H-M 'C 1 2/m 1'
_symmetry_Int_Tables_number 12
loop_
_symmetry_equiv_pos_as_xyz
'x,y,z'
'-x,-y,-z'
'-x,y,-z'
'x,-y,z'
'x+1/2,y+1/2,z'
'-x+1/2,-y+1/2,-z'
'-x+1/2,y+1/2,-z'
'x+1/2,-y+1/2,z'
loop_
_atom_site_label
_atom_site_type_symbol
_atom_site_fract_x
_atom_site_fract_y
_atom_site_fract_z
La1 La 0.000 0.000 0.000
La2 La 0.168 0.500 0.555
Nd1 Nd 0.001 0.000 0.331
Nd2 Nd 0.168 0.500 0.890
Dy1 Dy 0.167 0.500 0.221
# Energy above the most stable polymorph in this dataset in eV per atom: 0.000
# Calculated formation energy in kJ/mol of formula units: 16

=====

[3]
# La4Nd6Dy, relaxed, DFT PBE
data_La4Nd6Dy
_chemical_formula_sum 'La8 Nd12 Dy2'
_cell_length_a 6.811
_cell_length_b 6.811
_cell_length_c 17.016
_cell_angle_alpha 90.00
_cell_angle_beta 90.00
_cell_angle_gamma 90.00
_symmetry_space_group_name_H-M 'I -4 2 m'
_symmetry_Int_Tables_number 121
_symmetry_space_group_name_Hall 'I -4 2'
loop_
_atom_site_label
_atom_site_type_symbol
_atom_site_fract_x
_atom_site_fract_y
_atom_site_fract_z
La1 La 0.161 0.161 0.377
Nd1 Nd 0.000 0.500 0.000
Nd2 Nd 0.184 0.184 0.180
Dy1 Dy 0.000 0.000 0.000
# Energy above the most stable polymorph in this dataset in eV per atom: 0.000
# Calculated formation energy in kJ/mol of formula units: 260

=====

[4]
# La4NdDy7, relaxed, DFT PBE
data_La4NdDy7
_chemical_formula_sum 'La8 Nd2 Dy14'
_cell_length_a 12.203
_cell_length_b 5.989
_cell_length_c 13.010
_cell_angle_alpha 90.00
_cell_angle_beta 117.86
_cell_angle_gamma 90.00
_symmetry_space_group_name_H-M 'C 1 2/m 1'
_symmetry_Int_Tables_number 12
loop_
_symmetry_equiv_pos_as_xyz
'x,y,z'
'-x,-y,-z'
'-x,y,-z'
'x,-y,z'
'x+1/2,y+1/2,z'
'-x+1/2,-y+1/2,-z'
'-x+1/2,y+1/2,-z'
'x+1/2,-y+1/2,z'
loop_
_atom_site_label
_atom_site_type_symbol
_atom_site_fract_x
_atom_site_fract_y
_atom_site_fract_z
La1 La 0.135 0.000 0.277
La2 La 0.221 0.500 0.165
Nd1 Nd 0.000 0.500 0.500
Dy1 Dy 0.000 0.000 0.500
Dy2 Dy 0.070 0.500 0.813
Dy3 Dy 0.133 0.000 0.995
Dy4 Dy 0.211 0.500 0.424
# Energy above the most stable polymorph in this dataset in eV per atom: 0.225
# Calculated formation energy in kJ/mol of formula units: 279

=====

[5]
# La5Nd2Dy, relaxed, DFT PBE
data_La5Nd2Dy
_chemical_formula_sum 'La20 Nd8 Dy4'
_cell_length_a 5.748
_cell_length_b 12.206
_cell_length_c 16.692
_cell_angle_alpha 90.00
_cell_angle_beta 90.00
_cell_angle_gamma 90.00
_symmetry_space_group_name_H-M 'C m c m'
_symmetry_Int_Tables_number 63
_symmetry_space_group_name_Hall '-C 2c 2'
loop_
_atom_site_label
_atom_site_type_symbol
_atom_site_fract_x
_atom_site_fract_y
_atom_site_fract_z
La1 La 0.000 0.034 0.250
La2 La 0.000 0.114 0.553
La3 La 0.000 0.423 0.594
Nd1 Nd 0.000 0.276 0.134
Dy1 Dy 0.000 0.248 0.750
# Calculated formation energy in kJ/mol of formula units: 81

=====

[6]
# La2Nd9Dy, relaxed, DFT PBE
data_La2Nd9Dy
_chemical_formula_sum 'La2 Nd9 Dy1'
_cell_length_a 5.205
_cell_length_b 5.205
_cell_length_c 15.619
_cell_angle_alpha 90.00
_cell_angle_beta 90.00
_cell_angle_gamma 90.00
_symmetry_space_group_name_H-M 'P 4/m m m'
_symmetry_Int_Tables_number 123
_symmetry_space_group_name_Hall '-P 4 2'
loop_
_atom_site_label
_atom_site_type_symbol
_atom_site_fract_x
_atom_site_fract_y
_atom_site_fract_z
La1 La 0.000 0.000 0.168
Nd1 Nd 0.000 0.500 0.000
Nd2 Nd 0.000 0.500 0.336
Nd3 Nd 0.500 0.500 0.169
Nd4 Nd 0.500 0.500 0.500
Dy1 Dy 0.000 0.000 0.500
# Calculated formation energy in kJ/mol of formula units: 18

=====

[7]
# La2Nd7Dy2, relaxed, DFT PBE
data_La2Nd7Dy2
_chemical_formula_sum 'La4 Nd14 Dy4'
_cell_length_a 10.338
_cell_length_b 11.440
_cell_length_c 7.136
_cell_angle_alpha 90.00
_cell_angle_beta 112.73
_cell_angle_gamma 90.00
_symmetry_space_group_name_H-M 'C 1 2/m 1'
_symmetry_Int_Tables_number 12
loop_
_symmetry_equiv_pos_as_xyz
'x,y,z'
'-x,-y,-z'
'-x,y,-z'
'x,-y,z'
'x+1/2,y+1/2,z'
'-x+1/2,-y+1/2,-z'
'-x+1/2,y+1/2,-z'
'x+1/2,-y+1/2,z'
loop_
_atom_site_label
_atom_site_type_symbol
_atom_site_fract_x
_atom_site_fract_y
_atom_site_fract_z
La1 La 0.000 0.165 0.000
Nd1 Nd 0.000 0.000 0.500
Nd2 Nd 0.170 0.252 0.692
Nd3 Nd 0.176 0.500 0.981
Dy1 Dy 0.141 0.500 0.435
# Energy above the most stable polymorph in this dataset in eV per atom: 0.175
# Calculated formation energy in kJ/mol of formula units: 220

=====

[8]
# La2Nd7Dy4, relaxed, DFT PBE
data_La2Nd7Dy4
_chemical_formula_sum 'La2 Nd7 Dy4'
_cell_length_a 6.2551
_cell_length_b 6.2551
_cell_length_c 13.3031
_cell_angle_alpha 90.00
_cell_angle_beta 90.00
_cell_angle_gamma 120.00
_symmetry_space_group_name_H-M 'P -3 1 m'
_symmetry_Int_Tables_number 162
_symmetry_space_group_name_Hall '-P 3 2'
loop_
_atom_site_label
_atom_site_type_symbol
_atom_site_fract_x
_atom_site_fract_y
_atom_site_fract_z
La1 La 0.3333 0.6667 0.0000
Nd1 Nd 0.0000 0.0000 0.0000
Nd2 Nd 0.0000 0.3705 0.2250
Dy1 Dy 0.0000 0.0000 0.3932
Dy2 Dy 0.3333 0.6667 0.5000
# Calculated formation energy in kJ/mol of formula units: 212

=====

[9]
# LaNd4Dy10, relaxed, DFT PBE
data_LaNd4Dy10
_chemical_formula_sum 'La2 Nd8 Dy20'
_cell_length_a 9.864
_cell_length_b 9.864
_cell_length_c 10.884
_cell_angle_alpha 90.00
_cell_angle_beta 90.00
_cell_angle_gamma 90.00
_symmetry_space_group_name_H-M 'I 4/m'
_symmetry_Int_Tables_number 87
_symmetry_space_group_name_Hall '-I 4'
loop_
_atom_site_label
_atom_site_type_symbol
_atom_site_fract_x
_atom_site_fract_y
_atom_site_fract_z
La1 La 0.000 0.000 0.000
Nd1 Nd 0.051 0.287 0.500
Dy1 Dy 0.000 0.500 0.250
Dy2 Dy 0.123 0.217 0.170
# Calculated formation energy in kJ/mol of formula units: 636

=====

[10]
# La2Nd5Dy, relaxed, DFT PBE
data_La2Nd5Dy
_chemical_formula_sum 'La4 Nd10 Dy2'
_cell_length_a 7.354
_cell_length_b 14.737
_cell_length_c 5.201
_cell_angle_alpha 90.00
_cell_angle_beta 90.00
_cell_angle_gamma 90.00
_symmetry_space_group_name_H-M 'P b a m'
_symmetry_Int_Tables_number 55
loop_
_symmetry_equiv_pos_as_xyz
'x,y,z'
'-x,-y,-z'
'-x,-y,z'
'x,y,-z'
'x+1/2,-y+1/2,-z'
'-x+1/2,y+1/2,z'
'-x+1/2,y+1/2,-z'
'x+1/2,-y+1/2,z'
loop_
_atom_site_label
_atom_site_type_symbol
_atom_site_fract_x
_atom_site_fract_y
_atom_site_fract_z
La1 La 0.248 0.124 0.000
Nd1 Nd 0.000 0.500 0.500
Nd2 Nd 0.002 0.751 0.500
Nd3 Nd 0.249 0.376 0.000
Dy1 Dy 0.000 0.000 0.500
# Calculated formation energy in kJ/mol of formula units: 11

=====

[11]
# La4Nd4Dy, relaxed, DFT PBE
data_La4Nd4Dy
_chemical_formula_sum 'La8 Nd8 Dy2'
_cell_length_a 11.046
_cell_length_b 11.046
_cell_length_c 5.249
_cell_angle_alpha 90.00
_cell_angle_beta 90.00
_cell_angle_gamma 90.00
_symmetry_space_group_name_H-M 'I 4/m m m'
_symmetry_Int_Tables_number 139
_symmetry_space_group_name_Hall '-I 4 2'
loop_
_atom_site_label
_atom_site_type_symbol
_atom_site_fract_x
_atom_site_fract_y
_atom_site_fract_z
La1 La 0.166 0.166 0.000
Nd1 Nd 0.000 0.333 0.500
Dy1 Dy 0.000 0.000 0.500
# Calculated formation energy in kJ/mol of formula units: 14

=====

[12]
# La2NdDy4, relaxed, DFT PBE
data_La2NdDy4
_chemical_formula_sum 'La8 Nd4 Dy16'
_cell_length_a 11.096
_cell_length_b 11.097
_cell_length_c 8.186
_cell_angle_alpha 90.00
_cell_angle_beta 90.12
_cell_angle_gamma 90.00
_symmetry_space_group_name_H-M 'C 1 2/m 1'
_symmetry_Int_Tables_number 12
loop_
_symmetry_equiv_pos_as_xyz
'x,y,z'
'-x,-y,-z'
'-x,y,-z'
'x,-y,z'
'x+1/2,y+1/2,z'
'-x+1/2,-y+1/2,-z'
'-x+1/2,y+1/2,-z'
'x+1/2,-y+1/2,z'
loop_
_atom_site_label
_atom_site_type_symbol
_atom_site_fract_x
_atom_site_fract_y
_atom_site_fract_z
La1 La 0.000 0.000 0.000
La2 La 0.000 0.000 0.500
La3 La 0.250 0.250 0.000
Nd1 Nd 0.000 0.500 0.000
Nd2 Nd 0.000 0.500 0.500
Dy1 Dy 0.001 0.251 0.281
Dy2 Dy 0.248 0.500 0.719
Dy3 Dy 0.249 0.500 0.281
# Energy above the most stable polymorph in this dataset in eV per atom: 0.078
# Calculated formation energy in kJ/mol of formula units: 213

=====

[13]
# La2Nd2Dy15, relaxed, DFT PBE
data_La2Nd2Dy15
_chemical_formula_sum 'La6 Nd6 Dy45'
_cell_length_a 11.3380
_cell_length_b 11.3380
_cell_length_c 17.4475
_cell_angle_alpha 90.00
_cell_angle_beta 90.00
_cell_angle_gamma 120.00
_symmetry_space_group_name_H-M 'R -3 m'
_symmetry_Int_Tables_number 166
_symmetry_space_group_name_Hall '-R 3 2"'
loop_
_atom_site_label
_atom_site_type_symbol
_atom_site_fract_x
_atom_site_fract_y
_atom_site_fract_z
La1 La 0.0000 0.0000 0.1206
Nd1 Nd 0.0000 0.0000 0.3354
Dy1 Dy 0.0000 0.3035 0.0000
Dy2 Dy 0.0000 0.5000 0.5000
Dy3 Dy 0.0145 0.5072 0.1403
# Calculated formation energy in kJ/mol of formula units: 496

=====

[14]
# La4Nd4Dy3, relaxed, DFT PBE
data_La4Nd4Dy3
_chemical_formula_sum 'La8 Nd8 Dy6'
_cell_length_a 3.684
_cell_length_b 9.656
_cell_length_c 22.177
_cell_angle_alpha 90.00
_cell_angle_beta 90.00
_cell_angle_gamma 90.00
_symmetry_space_group_name_H-M 'I m m m'
_symmetry_Int_Tables_number 71
_symmetry_space_group_name_Hall '-I 2 2'
loop_
_atom_site_label
_atom_site_type_symbol
_atom_site_fract_x
_atom_site_fract_y
_atom_site_fract_z
La1 La 0.000 0.168 0.144
Nd1 Nd 0.000 0.312 0.000
Nd2 Nd 0.000 0.500 0.234
Dy1 Dy 0.000 0.000 0.397
Dy2 Dy 0.000 0.500 0.500
# Energy above the most stable polymorph in this dataset in eV per atom: 0.000
# Calculated formation energy in kJ/mol of formula units: 122

=====

[15]
# La3Nd3Dy2, relaxed, DFT PBE
data_La3Nd3Dy2
_chemical_formula_sum 'La6 Nd6 Dy4'
_cell_length_a 5.194
_cell_length_b 5.209
_cell_length_c 20.688
_cell_angle_alpha 90.00
_cell_angle_beta 90.00
_cell_angle_gamma 90.00
_symmetry_space_group_name_H-M 'I m m m'
_symmetry_Int_Tables_number 71
_symmetry_space_group_name_Hall '-I 2 2'
loop_
_atom_site_label
_atom_site_type_symbol
_atom_site_fract_x
_atom_site_fract_y
_atom_site_fract_z
La1 La 0.000 0.000 0.000
La2 La 0.000 0.500 0.127
Nd1 Nd 0.000 0.000 0.500
Nd2 Nd 0.000 0.500 0.371
Dy1 Dy 0.000 0.000 0.249
# Calculated formation energy in kJ/mol of formula units: 16

=====

[16]
# LaNd2Dy5, relaxed, DFT PBE
data_LaNd2Dy5
_chemical_formula_sum 'La2 Nd4 Dy10'
_cell_length_a 7.201
_cell_length_b 14.420
_cell_length_c 5.104
_cell_angle_alpha 90.00
_cell_angle_beta 90.00
_cell_angle_gamma 90.00
_symmetry_space_group_name_H-M 'P b a m'
_symmetry_Int_Tables_number 55
loop_
_symmetry_equiv_pos_as_xyz
'x,y,z'
'-x,-y,-z'
'-x,-y,z'
'x,y,-z'
'x+1/2,-y+1/2,-z'
'-x+1/2,y+1/2,z'
'-x+1/2,y+1/2,-z'
'x+1/2,-y+1/2,z'
loop_
_atom_site_label
_atom_site_type_symbol
_atom_site_fract_x
_atom_site_fract_y
_atom_site_fract_z
La1 La 0.000 0.000 0.000
Nd1 Nd 0.247 0.374 0.500
Dy1 Dy 0.000 0.500 0.000
Dy2 Dy 0.003 0.748 0.000
Dy3 Dy 0.248 0.126 0.500
# Energy above the most stable polymorph in this dataset in eV per atom: 0.000
# Calculated formation energy in kJ/mol of formula units: 17

=====

[17]
# LaNd4Dy6, relaxed, DFT PBE
data_LaNd4Dy6
_chemical_formula_sum 'La4 Nd16 Dy24'
_cell_length_a 5.856
_cell_length_b 9.689
_cell_length_c 26.070
_cell_angle_alpha 90.00
_cell_angle_beta 90.00
_cell_angle_gamma 90.00
_symmetry_space_group_name_H-M 'C m c m'
_symmetry_Int_Tables_number 63
_symmetry_space_group_name_Hall '-C 2c 2'
loop_
_atom_site_label
_atom_site_type_symbol
_atom_site_fract_x
_atom_site_fract_y
_atom_site_fract_z
La1 La 0.000 0.196 0.250
Nd1 Nd 0.000 0.154 0.544
Nd2 Nd 0.000 0.462 0.623
Dy1 Dy 0.000 0.134 0.682
Dy2 Dy 0.000 0.194 0.101
Dy3 Dy 0.000 0.467 0.750
Dy4 Dy 0.000 0.500 0.000
# Energy above the most stable polymorph in this dataset in eV per atom: 0.000
# Calculated formation energy in kJ/mol of formula units: 119

=====

[18]
# La8Nd6Dy, relaxed, DFT PBE
data_La8Nd6Dy
_chemical_formula_sum 'La24 Nd18 Dy3'
_cell_length_a 10.0779
_cell_length_b 10.0779
_cell_length_c 18.4243
_cell_angle_alpha 90.00
_cell_angle_beta 90.00
_cell_angle_gamma 120.00
_symmetry_space_group_name_H-M 'R -3'
_symmetry_Int_Tables_number 148
_symmetry_space_group_name_Hall '-R 3'
loop_
_atom_site_label
_atom_site_type_symbol
_atom_site_fract_x
_atom_site_fract_y
_atom_site_fract_z
La1 La 0.0000 0.0000 0.0857
La2 La 0.0551 0.2378 0.6696
Nd1 Nd 0.0423 0.2839 0.1751
Dy1 Dy 0.0000 0.0000 0.5000
# Energy above the most stable polymorph in this dataset in eV per atom: 0.012
# Calculated formation energy in kJ/mol of formula units: 185

=====

[19]
# La7Nd2Dy2, relaxed, DFT PBE
data_La7Nd2Dy2
_chemical_formula_sum 'La14 Nd4 Dy4'
_cell_length_a 11.645
_cell_length_b 11.653
_cell_length_c 6.244
_cell_angle_alpha 90.00
_cell_angle_beta 111.57
_cell_angle_gamma 90.00
_symmetry_space_group_name_H-M 'C 1 2/m 1'
_symmetry_Int_Tables_number 12
loop_
_symmetry_equiv_pos_as_xyz
'x,y,z'
'-x,-y,-z'
'-x,y,-z'
'x,-y,z'
'x+1/2,y+1/2,z'
'-x+1/2,-y+1/2,-z'
'-x+1/2,y+1/2,-z'
'x+1/2,-y+1/2,z'
loop_
_atom_site_label
_atom_site_type_symbol
_atom_site_fract_x
_atom_site_fract_y
_atom_site_fract_z
La1 La 0.000 0.000 0.000
La2 La 0.075 0.500 0.802
La3 La 0.185 0.232 0.180
Nd1 Nd 0.227 0.000 0.593
Dy1 Dy 0.000 0.214 0.500
# Energy above the most stable polymorph in this dataset in eV per atom: 0.018
# Calculated formation energy in kJ/mol of formula units: 119

=====

Number 1: magnetic moment 0.000 μB per atom. Number 2: magnetic moment 0.000 μB per atom. Number 3: magnetic moment 0.000 μB per atom. Number 4: magnetic moment 0.000 μB per atom. Number 5: magnetic moment 0.000 μB per atom. Number 6: magnetic moment 0.000 μB per atom. Number 7: magnetic moment 0.000 μB per atom. Number 8: magnetic moment 0.000 μB per atom. Number 9: magnetic moment 0.000 μB per atom. Number 10: magnetic moment 0.000 μB per atom. Number 11: magnetic moment 0.000 μB per atom. Number 12: magnetic moment 0.032 μB per atom. Number 13: magnetic moment 0.000 μB per atom. Number 14: magnetic moment 0.000 μB per atom. Number 15: magnetic moment 0.000 μB per atom. Number 16: magnetic moment 0.000 μB per atom. Number 17: magnetic moment 0.000 μB per atom. Number 18: magnetic moment 0.000 μB per atom. Number 19: magnetic moment 0.000 μB per atom.